Er2Se3: relaxed, GGA-PBEsol.

Calculated values
M_tot in μB/cell: 0.00
E_form (uncorrected) in eV/f.u.: -9.269
Space group: I-42d, No. 122

a = 14.0618 Å, b = 14.0618 Å, c = 14.0618 Å
α = 144.95°, β = 144.95°, γ = 50.41°
With the nearest neighbours (Å) after each atom.
Positions (direct):
Er 0.0481 0.4222 0.8911  7 Se 2.80-3.04
Er 0.1668 0.1668 0.0000  8 Se 2.82-3.02
Er 0.1722 0.2981 0.3911  7 Se 2.80-3.04
Er 0.2189 0.8278 0.1259  7 Se 2.80-3.04
Er 0.2578 0.1250 0.6328  8 Se 2.83-3.11
Er 0.3750 0.7422 0.8672  8 Se 2.83-3.11
Er 0.4922 0.6250 0.3672  8 Se 2.83-3.11
Er 0.5311 0.1570 0.1089  7 Se 2.80-3.04
Er 0.5778 0.4689 0.6259  7 Se 2.80-3.04
Er 0.5832 0.0832 0.5000  8 Se 2.82-3.02
Er 0.7019 0.0930 0.8741  7 Se 2.80-3.04
Er 0.8332 0.8332 0.0000  8 Se 2.82-3.02
Er 0.8430 0.9519 0.3741  7 Se 2.80-3.04
Er 0.8750 0.5078 0.1328  8 Se 2.83-3.11
Er 0.9070 0.7811 0.6089  7 Se 2.80-3.04
Er 0.9168 0.4168 0.5000  8 Se 2.82-3.02
Se 0.0027 0.1106 0.2459  6 Er 2.83-3.15
Se 0.0742 0.8267 0.6094  5 Er 2.80-3.04
Se 0.1733 0.7827 0.2475  5 Er 2.80-3.04
Se 0.1875 0.0891 0.7436  5 Er 2.80-3.02
Se 0.1939 0.5955 0.7564  5 Er 2.80-3.02
Se 0.2148 0.4673 0.8906  5 Er 2.80-3.04
Se 0.2173 0.4648 0.3906  5 Er 2.80-3.04
Se 0.2432 0.9973 0.1079  6 Er 2.83-3.15
Se 0.3455 0.4439 0.2564  5 Er 2.80-3.02
Se 0.4045 0.1609 0.5984  5 Er 2.80-3.02
Se 0.5068 0.1147 0.2541  6 Er 2.83-3.15
Se 0.5327 0.4233 0.7475  5 Er 2.80-3.04
Se 0.5352 0.9258 0.7525  5 Er 2.80-3.04
Se 0.5561 0.8125 0.9016  5 Er 2.80-3.02
Se 0.5625 0.8061 0.4016  5 Er 2.80-3.02
Se 0.5767 0.3242 0.1094  5 Er 2.80-3.04
Se 0.6758 0.7852 0.2525  5 Er 2.80-3.04
Se 0.7473 0.4932 0.6079  6 Er 2.83-3.15
Se 0.8391 0.4375 0.2436  5 Er 2.80-3.02
Se 0.8606 0.2527 0.7459  6 Er 2.83-3.15
Se 0.8647 0.7568 0.7541  6 Er 2.83-3.15
Se 0.8853 0.1394 0.3921  6 Er 2.83-3.15
Se 0.8894 0.1353 0.8921  6 Er 2.83-3.15
Se 0.9109 0.6545 0.0984  5 Er 2.80-3.02



YCu4Au: relaxed, GGA-PBEsol.

Calculated values
M_tot in μB/cell: 0.00
Formation energy in eV/atom: -0.349
Space group: F-43m, No. 216

a = 4.9561 Å, b = 4.9561 Å, c = 4.9561 Å
α = 60.00°, β = 60.00°, γ = 60.00°
With the nearest neighbours (Å) after each atom.
Positions (direct):
Y 0.0000 0.0000 0.0000  12 Cu 2.91, 4 Au 3.04
Cu 0.1275 0.6242 0.6242  6 Cu 2.46-2.49
Cu 0.6242 0.1275 0.6242  6 Cu 2.46-2.49
Cu 0.6242 0.6242 0.1275  6 Cu 2.46-2.49
Cu 0.6242 0.6242 0.6242  6 Cu 2.46-2.49
Au 0.2500 0.2500 0.2500  12 Cu 2.90, 4 Y 3.04